CoAsPd2O6 (PBE+U, optimized geometry); SG = C2/c (15); final energy = -5.645 eV/atom; DOS(E_F) = 0.84 states/eV/cell
1.0
5.137 -4.554 0.000
5.137 4.554 0.000
-0.521 0.000 4.843
Co As Pd O
2 2 4 12
Cartesian
4.746 3.871 3.632
5.006 -3.871 1.211
5.006 2.088 1.211
4.746 -2.088 3.632
2.324 1.380 3.660
2.585 -1.380 1.239
7.167 1.380 3.604
7.428 -1.380 1.182
0.500 0.757 4.508
3.717 2.557 2.620
0.761 -0.757 2.087
4.028 0.916 0.343
5.775 2.557 4.644
3.767 -0.916 2.764
5.985 0.916 2.078
3.977 -2.557 0.199
5.724 -0.916 4.500
8.991 0.757 2.756
6.035 -2.557 2.223
9.252 -0.757 0.335